No. 1
HoPb2F11 after structural relaxation, computed with GGA-PBE.

extended XYZ file:
```
28
Lattice="-4.0092 5.0882 5.3651 4.0092 -5.0882 5.3651 4.0092 5.0882 -5.3651" Properties=species:S:1:pos:R:3 pbc="T T T"
Ho 0.0000 0.0000 2.6825
Ho 0.0000 0.0000 8.0476
Pb 5.1502 1.8559 0.0000
Pb 1.1410 3.2322 0.0000
Pb 2.8682 1.8559 5.3651
Pb -1.1410 3.2322 5.3651
F 4.0092 0.0000 0.0000
F 4.7909 -3.2879 3.8315
F 1.8102 -0.7275 1.4616
F 4.7909 3.2879 -1.5336
F 6.2082 0.7275 1.4616
F 2.9854 2.1370 0.0000
F 2.9854 -2.1370 5.3651
F 2.1990 4.3607 -1.4616
F 0.7817 1.8002 1.5336
F 1.8102 0.7275 3.9035
F 4.7909 3.2879 1.5336
F 0.0000 5.0882 0.0000
F -0.7817 1.8002 3.8315
F 2.1990 4.3607 1.4616
F 3.2275 3.2879 3.8315
F 1.8102 0.7275 6.8266
F 1.0238 7.2251 0.0000
F 1.0238 2.9512 5.3651
F -2.1990 4.3607 3.9035
F -0.7817 1.8002 6.8986
F 2.1990 5.8157 3.9035
F -0.7817 8.3761 1.5336
```

**Crystal system**: orthorhombic


No. 2
HoPbF5 after structural relaxation, computed with GGA-PBE.

extended XYZ file:
```
14
Lattice="2.1655 -7.9914 0.0000 2.1655 7.9914 0.0000 -0.3478 0.0000 5.8301" Properties=species:S:1:pos:R:3 pbc="T T T"
Ho 1.9046 6.8065 4.3726
Ho 2.0786 -6.8065 1.4575
Pb 1.9046 2.8190 4.3726
Pb 2.0786 -2.8190 1.4575
F 1.7773 4.9860 5.7847
F 0.7773 0.6019 3.4886
F 2.0320 4.9860 2.9605
F 0.9513 -0.6019 0.5736
F 2.0786 1.8969 1.4575
F 1.9046 -1.8969 4.3726
F 3.0320 0.6019 5.2565
F 1.9513 -4.9860 2.8697
F 3.2059 -0.6019 2.3415
F 2.2059 -4.9860 0.0454
```

**Crystal system**: monoclinic


No. 3
HoPbF after structural relaxation, computed with GGA-PBE.

extended XYZ file:
```
3
Lattice="3.8652 0.0000 0.0000 -1.9326 3.3474 0.0000 0.0000 0.0000 5.3033" Properties=species:S:1:pos:R:3 pbc="T T T"
Ho 0.0000 0.0000 0.0000
Pb 1.9326 1.1158 2.6517
F 0.0000 2.2316 0.0000
```

**Crystal system**: hexagonal


No. 4
HoPbF4 after structural relaxation, computed with GGA-PBE.

extended XYZ file:
```
12
Lattice="4.0217 -4.5403 0.0000 4.0217 4.5403 0.0000 -3.3835 0.0000 5.1422" Properties=species:S:1:pos:R:3 pbc="T T T"
Ho 1.4841 3.3487 3.8567
Ho 3.1758 -3.3487 1.2856
Pb 3.1758 0.6235 1.2856
Pb 1.4841 -0.6235 3.8567
F 0.9766 0.7648 0.0278
F 0.0972 1.5703 3.4873
F -0.7151 -0.7648 2.5990
F 1.7890 -1.5703 0.9161
F 2.8709 1.5703 4.2261
F 5.3750 0.7648 2.5433
F 4.5627 -1.5703 1.6550
F 3.6833 -0.7648 5.1144
```

**Crystal system**: monoclinic


No. 5
HoPb2F6 after structural relaxation, computed with GGA-PBE.

extended XYZ file:
```
9
Lattice="7.4201 -1.7143 0.0000 7.4201 1.7143 0.0000 -2.1377 0.0000 7.1675" Properties=species:S:1:pos:R:3 pbc="T T T"
Ho 0.0000 0.0000 0.0000
Pb 0.9276 0.0000 4.2074
Pb 11.7748 0.0000 2.9600
F -0.3273 0.0000 2.1484
F 3.2584 0.0000 4.5162
F 6.0519 0.0000 0.0669
F 6.6505 0.0000 7.1006
F 9.4440 0.0000 2.6513
F 13.0296 0.0000 5.0190
```

**Crystal system**: monoclinic


No. 6
Ho2PbF after structural relaxation, computed with GGA-PBE.

extended XYZ file:
```
4
Lattice="2.3789 1.3735 7.0523 -2.3789 1.3735 7.0523 0.0000 -2.7469 7.0523" Properties=species:S:1:pos:R:3 pbc="T T T"
Ho 0.0000 0.0000 2.1621
Ho 0.0000 0.0000 18.9947
Pb 0.0000 0.0000 10.5784
F 0.0000 0.0000 0.0000
```

**Crystal system**: trigonal


No. 7
HoTl2PbF6 after structural relaxation, computed with GGA-PBE.

extended XYZ file:
```
20
Lattice="6.2228 0.0000 0.0000 0.0000 9.2840 0.0000 0.0000 0.0000 7.2205" Properties=species:S:1:pos:R:3 pbc="T T T"
Ho 1.5557 2.3210 1.6318
Ho 4.6671 6.9630 5.5888
Tl 1.5557 4.6636 5.6120
Tl 1.5557 9.2624 5.6120
Tl 4.6671 0.0216 1.6085
Tl 4.6671 4.6204 1.6085
Pb 1.5557 6.9630 2.0115
Pb 4.6671 2.3210 5.2090
F 0.0460 2.3210 0.0408
F 0.0670 6.9630 4.1539
F 1.5557 0.1337 1.5294
F 1.5557 4.5083 1.5294
F 3.0444 6.9630 4.1539
F 3.0654 2.3210 0.0408
F 3.1574 6.9630 7.1797
F 3.1785 2.3210 3.0666
F 4.6671 4.7757 5.6911
F 4.6671 9.1503 5.6911
F 6.1558 2.3210 3.0666
F 6.1768 6.9630 7.1797
```

**Crystal system**: orthorhombic


No. 8
HoTlPbF6 after structural relaxation, computed with GGA-PBE.

extended XYZ file:
```
18
Lattice="5.6921 0.0000 0.0000 0.0000 5.6921 0.0000 0.0000 0.0000 11.5870" Properties=species:S:1:pos:R:3 pbc="T T T"
Ho 0.0000 0.0000 0.0000
Ho 2.8460 2.8460 5.7935
Tl 0.0000 0.0000 7.7222
Tl 2.8460 2.8460 1.9287
Pb 0.0000 0.0000 3.9048
Pb 2.8460 2.8460 9.6982
F 0.9542 0.9542 1.7281
F 1.1260 1.1260 10.0849
F 1.3023 1.3023 5.5647
F 1.5437 4.1484 11.3582
F 1.7200 3.9720 4.2914
F 1.8918 3.8003 7.5216
F 3.8003 1.8918 7.5216
F 3.9720 1.7200 4.2914
F 4.1484 1.5437 11.3582
F 4.3897 4.3897 5.5647
F 4.5661 4.5661 10.0849
F 4.7378 4.7378 1.7281
```

**Crystal system**: tetragonal


No. 9
HoPdF5 after structural relaxation, computed with GGA-PBE.

extended XYZ file:
```
7
Lattice="4.3452 0.0000 0.0000 -1.7267 5.0571 0.0000 -0.9819 -0.5486 5.6953" Properties=species:S:1:pos:R:3 pbc="T T T"
Ho 0.0000 0.0000 0.0000
Pd -1.3543 2.2543 2.8476
F -0.9636 1.3095 4.5649
F -0.0251 1.0977 1.8924
F 2.1726 0.0000 0.0000
F 1.6617 3.4108 3.8029
F 2.6002 3.1990 1.1304
```

**Crystal system**: triclinic


No. 10
HoPd2F8 after structural relaxation, computed with GGA-PBE.

extended XYZ file:
```
11
Lattice="4.7995 -3.5448 0.0000 4.7995 3.5448 0.0000 -0.4368 0.0000 4.9702" Properties=species:S:1:pos:R:3 pbc="T T T"
Ho 0.0000 0.0000 0.0000
Pd 3.3404 0.0000 3.7094
Pd 5.8218 0.0000 1.2608
F 3.3847 2.0033 3.7606
F 1.3351 0.0000 3.7213
F 5.7775 2.0033 1.2096
F 3.8487 0.0000 1.2682
F 5.3135 0.0000 3.7020
F 3.3847 -2.0033 3.7606
F 7.8271 0.0000 1.2489
F 5.7775 -2.0033 1.2096
```

**Crystal system**: monoclinic


No. 11
Ho2PdF8 after structural relaxation, computed with GGA-PBE.

extended XYZ file:
```
11
Lattice="7.6261 -1.7324 0.0000 7.6261 1.7324 0.0000 -1.6386 0.0000 5.4458" Properties=species:S:1:pos:R:3 pbc="T T T"
Ho 2.4702 0.0000 1.0739
Ho 11.1434 0.0000 4.3720
Pd 6.8068 0.0000 2.7229
F 0.1222 0.0000 1.8754
F 1.9467 0.0000 4.5551
F 3.9259 0.0000 2.9035
F 6.0729 0.0000 0.0248
F 7.5407 0.0000 5.4210
F 9.6876 0.0000 2.5423
F 11.6669 0.0000 0.8907
F 13.4914 0.0000 3.5704
```

**Crystal system**: monoclinic


No. 12
Rb2HoPd3F12 after structural relaxation, computed with GGA-PBE.

extended XYZ file:
```
18
Lattice="3.8408 2.2175 6.6088 -3.8408 2.2175 6.6088 0.0000 -4.4350 6.6088" Properties=species:S:1:pos:R:3 pbc="T T T"
Rb 0.0000 0.0000 2.3159
Rb 0.0000 0.0000 17.5106
Ho 0.0000 0.0000 9.9132
Pd -1.9204 -1.1087 6.6088
Pd -1.9204 1.1087 13.2176
Pd 0.0000 2.2175 6.6088
F -1.5999 -0.9237 8.7791
F 0.0000 -1.8238 6.1252
F -1.5795 0.9119 6.1252
F -1.5795 -0.9119 13.7012
F 0.0000 -1.8475 11.0474
F -1.5999 0.9237 11.0474
F 1.6000 -0.9237 8.7791
F 0.0000 1.8475 8.7791
F 1.5795 0.9119 6.1252
F 1.5795 -0.9119 13.7013
F 0.0000 1.8238 13.7013
F 1.5999 0.9237 11.0474
```

**Crystal system**: trigonal


| no. | uncorrected formation energy (eV per atom) |
| --- | --- |
| 1 | -2.5029 |
| 2 | -3.4026 |
| 3 | -1.8609 |
| 4 | -3.1412 |
| 5 | -2.8181 |
| 6 | -1.3571 |
| 7 | -2.5845 |
| 8 | -3.0130 |
| 9 | -2.8242 |
| 10 | -2.2216 |
| 11 | -3.2436 |
| 12 | -2.1949 |